MnOF: optimized geometry, PBE with a Hubbard U.

Summary:
The calculated volume is 11.289 Å³/atom. As for the space group: P1, No. 1. As for the spin magnetization: 1.33 μB/atom. Its total energy is -160.91 eV for the cell shown.

Cell and atoms, written as CIF:
```
data_MnOF
_chemical_formula_sum 'Mn8 O8 F8'
_cell_length_a 4.591
_cell_length_b 5.710
_cell_length_c 10.342
_cell_angle_alpha 89.28
_cell_angle_beta 89.02
_cell_angle_gamma 88.36
_space_group_name_H-M_alt 'P 1'
_space_group_IT_number 1
loop_
_space_group_symop_operation_xyz
'x,y,z'
loop_
_atom_site_label
_atom_site_fract_x
_atom_site_fract_y
_atom_site_fract_z
Mn1 0.000 0.000 0.000
Mn2 0.004 0.297 0.243
Mn3 0.016 0.314 0.748
Mn4 0.038 0.982 0.503
Mn5 0.503 0.501 0.975
Mn6 0.509 0.800 0.230
Mn7 0.515 0.814 0.731
Mn8 0.540 0.534 0.475
O1 0.213 0.034 0.160
O2 0.214 0.271 0.912
O3 0.236 0.050 0.661
O4 0.301 0.762 0.394
O5 0.712 0.767 0.063
O6 0.718 0.538 0.814
O7 0.745 0.787 0.576
O8 0.752 0.541 0.314
F1 0.247 0.771 0.882
F2 0.250 0.260 0.407
F3 0.253 0.529 0.137
F4 0.272 0.544 0.632
F5 0.736 0.264 0.092
F6 0.758 0.044 0.841
F7 0.780 0.297 0.575
F8 0.783 0.039 0.343
```